[1]
Below is an optimized crystal structure of Rb2SrErF6, with properties calculated at the PBE level.

extended XYZ file:
```
10
Lattice="5.7719 -3.3373 0.0000 5.7719 3.3373 0.0000 -3.8459 0.0000 5.4448" Properties=species:S:1:pos:R:3 pbc="T T T"
Rb 1.9242 0.0000 1.3593
Rb 5.7737 0.0000 4.0855
Sr -1.9229 0.0000 2.7224
Er 5.7719 0.0000 0.0000
F 0.1248 0.0000 4.1744
F 4.8720 1.5614 1.2705
F 2.8259 1.5614 4.1744
F 4.8720 -1.5614 1.2705
F 2.8259 -1.5614 4.1744
F 7.5731 0.0000 1.2704
```

Space-group type ... C2/m, No. 12
Formation energy (no corrections) ... -3.296 eV/atom


[2]
Below is an optimized crystal structure of RbSrErF6, with properties calculated at the PBE level.

extended XYZ file:
```
18
Lattice="-3.9957 4.0127 5.6088 3.9957 -4.0127 5.6088 3.9957 4.0127 -5.6088" Properties=species:S:1:pos:R:3 pbc="T T T"
Rb 0.0000 2.0064 1.6065
Rb 3.9957 2.0064 4.0023
Sr 1.9978 2.0064 -2.8044
Sr 1.9978 -2.0064 2.8044
Er 3.9957 0.0000 0.0000
Er 0.0000 0.0000 5.6088
F 3.9957 -2.0064 4.0929
F 2.4774 0.2153 1.4899
F 5.5139 0.2153 1.4899
F 3.9957 2.0064 -0.8534
F 2.4774 4.2280 -1.4899
F 1.5182 0.2153 4.1190
F 2.4774 3.7974 1.4899
F 1.5182 -0.2153 7.0987
F 0.0000 2.0064 6.4622
F -1.5182 3.7974 4.1190
F 1.5182 3.7974 4.1190
F 0.0000 6.0191 1.5159
```

Space-group type ... Imma, No. 74
Formation energy (no corrections) ... -3.712 eV/atom


[3]
Below is an optimized crystal structure of Rb2ErTlF6, with properties calculated at the PBE level.

extended XYZ file:
```
20
Lattice="6.6245 0.0000 0.0000 0.0000 6.8558 0.0000 -6.5649 0.0000 9.4459" Properties=species:S:1:pos:R:3 pbc="T T T"
Rb -0.0742 0.3143 2.3302
Rb -3.3566 3.1136 7.0531
Rb 3.4163 3.7422 2.3928
Rb 0.1339 6.5415 7.1157
Er 3.3123 0.0000 0.0000
Er 0.0298 3.4279 4.7229
Tl -3.2824 0.0000 4.7229
Tl 0.0000 3.4279 0.0000
F -5.0164 1.1980 9.0403
F -1.7340 2.2299 4.3174
F -4.3634 5.0873 8.8334
F -1.0810 5.1963 4.1105
F -2.5970 0.3458 7.4038
F 0.6854 3.0821 2.6809
F -0.6257 3.7737 6.7650
F 2.6567 6.5100 2.0420
F 1.1406 1.6595 5.3354
F 4.4231 1.7684 0.6125
F 1.7936 4.6259 5.1284
F 5.0761 5.6578 0.4055
```

Space-group type ... P2_1/c, No. 14
Formation energy (no corrections) ... -3.146 eV/atom


DOS at the Fermi energy
In order: 1.5; 0.0; 0.0
Unit: states/eV per cell
DFT total energy
In order: -5.2369; -5.7613; -5.1557
Unit: eV per atom
Ρ
In order: 4.273; 4.195; 5.083
Unit: g/cm³